1.
CoOsSe2: relaxed, GGA-PBE.

Values from the calculation:
Distance to the lowest polymorph of the same formula in meV per atom: 936
Uncorrected formation energy in eV per atom: 0.883
Raw total energy in eV/atom: -5.443

```
data_CoOsSe2
_cell_length_a 3.023
_cell_length_b 3.941
_cell_length_c 5.663
_cell_angle_alpha 90.00
_cell_angle_beta 90.00
_cell_angle_gamma 90.00
_space_group_name_H-M_alt 'P m m m'
_space_group_IT_number 47
loop_
_space_group_symop_operation_xyz
'x,y,z'
'-x,-y,-z'
'-x,-y,z'
'x,y,-z'
'x,-y,-z'
'-x,y,z'
'-x,y,-z'
'x,-y,z'
loop_
_atom_site_label
_atom_site_type_symbol
_atom_site_fract_x
_atom_site_fract_y
_atom_site_fract_z
_atom_site_occupancy
Co1 Co 0.000 0.000 0.000 1
Os1 Os 0.500 0.000 0.500 1
Se1 Se 0.000 0.500 0.500 1
Se2 Se 0.500 0.500 0.000 1
```

=====

2.
ScRh2Cl: relaxed, GGA-PBE.

Values from the calculation:
Distance to the lowest polymorph of the same formula in meV per atom: 0
Uncorrected formation energy in eV per atom: -0.503
Raw total energy in eV/atom: -6.223

```
data_ScRh2Cl
_cell_length_a 3.358
_cell_length_b 3.365
_cell_length_c 7.042
_cell_angle_alpha 90.00
_cell_angle_beta 103.39
_cell_angle_gamma 90.00
_space_group_name_H-M_alt 'P 1 m 1'
_space_group_IT_number 6
loop_
_space_group_symop_operation_xyz
'x,y,z'
'x,-y,z'
loop_
_atom_site_label
_atom_site_type_symbol
_atom_site_fract_x
_atom_site_fract_y
_atom_site_fract_z
_atom_site_occupancy
Sc1 Sc 0.000 0.000 0.000 1
Rh1 Rh 0.386 0.500 0.766 1
Rh2 Rh 0.821 0.000 0.632 1
Cl1 Cl 0.609 0.500 0.224 1
```

=====

3.
PBrF3: relaxed, GGA-PBE.

Values from the calculation:
Distance to the lowest polymorph of the same formula in meV per atom: 1964
Uncorrected formation energy in eV per atom: 0.205
Raw total energy in eV/atom: -2.334

```
data_PBrF3
_cell_length_a 4.491
_cell_length_b 4.491
_cell_length_c 4.491
_cell_angle_alpha 90.00
_cell_angle_beta 90.00
_cell_angle_gamma 90.00
_space_group_name_H-M_alt 'P m -3 m'
_space_group_IT_number 221
_space_group_name_Hall '-P 4 2 3'
loop_
_atom_site_label
_atom_site_type_symbol
_atom_site_fract_x
_atom_site_fract_y
_atom_site_fract_z
_atom_site_occupancy
P1 P 0.000 0.000 0.000 1
Br1 Br 0.500 0.500 0.500 1
F1 F 0.000 0.500 0.500 1
```

=====

4.
Ni3Ir2: relaxed, GGA-PBE.

Values from the calculation:
ΔE_f in kJ/mol of formula units: 34
Distance to the lowest polymorph of the same formula in meV per atom: 20
Raw total energy in eV/atom: -6.942

```
data_Ni3Ir2
_cell_length_a 2.6598
_cell_length_b 2.6598
_cell_length_c 31.1171
_cell_angle_alpha 90.00
_cell_angle_beta 90.00
_cell_angle_gamma 120.00
_space_group_name_H-M_alt 'R -3 m'
_space_group_IT_number 166
_space_group_name_Hall '-R 3 2"'
loop_
_atom_site_label
_atom_site_type_symbol
_atom_site_fract_x
_atom_site_fract_y
_atom_site_fract_z
_atom_site_occupancy
Ni1 Ni 0.0000 0.0000 0.0000 1
Ni2 Ni 0.0000 0.0000 0.3962 1
Ir1 Ir 0.0000 0.0000 0.2029 1
```

=====

5.
Y4HoEr7: relaxed, GGA-PBE.

Values from the calculation:
ΔE_f in kJ/mol of formula units: 341
Distance to the lowest polymorph of the same formula in meV per atom: 207
Raw total energy in eV/atom: -4.903

```
data_Y4HoEr7
_cell_length_a 11.976
_cell_length_b 5.831
_cell_length_c 12.612
_cell_angle_alpha 90.00
_cell_angle_beta 118.02
_cell_angle_gamma 90.00
_space_group_name_H-M_alt 'C 1 2/m 1'
_space_group_IT_number 12
loop_
_space_group_symop_operation_xyz
'x,y,z'
'-x,-y,-z'
'-x,y,-z'
'x,-y,z'
'x+1/2,y+1/2,z'
'-x+1/2,-y+1/2,-z'
'-x+1/2,y+1/2,-z'
'x+1/2,-y+1/2,z'
loop_
_atom_site_label
_atom_site_type_symbol
_atom_site_fract_x
_atom_site_fract_y
_atom_site_fract_z
_atom_site_occupancy
Y1 Y 0.061 0.000 0.321 1
Y2 Y 0.139 0.500 0.776 1
Ho1 Ho 0.000 0.500 0.000 1
Er1 Er 0.000 0.000 0.000 1
Er2 Er 0.134 0.500 0.501 1
Er3 Er 0.213 0.000 0.925 1
Er4 Er 0.245 0.000 0.682 1
```

=====

6.
TaCr2Ag: relaxed, GGA-PBE.

Values from the calculation:
ΔE_f in kJ/mol of formula units: 171
Distance to the lowest polymorph of the same formula in meV per atom: 179
Raw total energy in eV/atom: -8.044

```
data_TaCr2Ag
_cell_length_a 3.154
_cell_length_b 4.367
_cell_length_c 8.753
_cell_angle_alpha 90.00
_cell_angle_beta 90.00
_cell_angle_gamma 90.00
_space_group_name_H-M_alt 'C m m m'
_space_group_IT_number 65
_space_group_name_Hall '-C 2 2'
loop_
_atom_site_label
_atom_site_type_symbol
_atom_site_fract_x
_atom_site_fract_y
_atom_site_fract_z
_atom_site_occupancy
Ta1 Ta 0.000 0.000 0.000 1
Cr1 Cr 0.000 0.500 0.242 1
Ag1 Ag 0.000 0.000 0.500 1
```

=====

7.
NaAsPd3: relaxed, GGA-PBE.

Values from the calculation:
ΔE_f in kJ/mol of formula units: -67
Distance to the lowest polymorph of the same formula in meV per atom: 154
Raw total energy in eV/atom: -4.449

```
data_NaAsPd3
_cell_length_a 4.725
_cell_length_b 4.725
_cell_length_c 4.725
_cell_angle_alpha 90.00
_cell_angle_beta 90.00
_cell_angle_gamma 90.00
_space_group_name_H-M_alt 'P m -3 m'
_space_group_IT_number 221
_space_group_name_Hall '-P 4 2 3'
loop_
_atom_site_label
_atom_site_type_symbol
_atom_site_fract_x
_atom_site_fract_y
_atom_site_fract_z
_atom_site_occupancy
Na1 Na 0.000 0.000 0.000 1
As1 As 0.500 0.500 0.500 1
Pd1 Pd 0.000 0.500 0.500 1
```

=====

8.
LiTbEr2: relaxed, GGA-PBE.

Values from the calculation:
ΔE_f in kJ/mol of formula units: 40
Distance to the lowest polymorph of the same formula in meV per atom: 32
Raw total energy in eV/atom: -3.814

```
data_LiTbEr2
_cell_length_a 3.4871
_cell_length_b 3.4871
_cell_length_c 33.3121
_cell_angle_alpha 90.00
_cell_angle_beta 90.00
_cell_angle_gamma 120.00
_space_group_name_H-M_alt 'R 3 m'
_space_group_IT_number 160
_space_group_name_Hall 'R 3 -2"'
loop_
_atom_site_label
_atom_site_type_symbol
_atom_site_fract_x
_atom_site_fract_y
_atom_site_fract_z
_atom_site_occupancy
Li1 Li 0.0000 0.0000 0.0000 1
Tb1 Tb 0.0000 0.0000 0.1666 1
Er1 Er 0.0000 0.0000 0.4147 1
Er2 Er 0.0000 0.0000 0.5851 1
```

=====

- Number 2 is which compound?
  ScRh2Cl

=====

- Look up the distance to the lowest polymorph of the same formula of the third one.
  1964 meV per atom

=====

- Look up the raw total energy of the eighth one.
  -3.814 eV/atom

=====

- Among the records above, which one has the lowest raw total energy?
  TaCr2Ag